Entry from Alexandria via LeMat-Bulk: CoIO3 after structural relaxation (PBE+U).

The density of states at the Fermi level is 1.9 states/eV per cell. The calculation puts the calculated volume at 53.9 Å³/cell. As for the raw total energy: -4.291 eV/atom. As for the density: 7.2 g cm⁻³.

The structure belongs to space group Pm-3m (No. 221); the cell edges are 3.7774, 3.7774 and 3.7774 Å and the angles 90.00°, 90.00° and 90.00°. Symmetry generates all atoms from Co at (0.0000, 0.0000, 0.0000), I at (0.5000, 0.5000, 0.5000) and O at (0.0000, 0.0000, 0.5000).